Tb2SmEr12 | PBE | relaxed

Geometry as CIF:
```
data_Tb2SmEr12
_chemical_formula_sum 'Tb8 Sm4 Er48'
_cell_length_a 7.054
_cell_length_b 11.058
_cell_length_c 24.164
_cell_angle_alpha 90.00
_cell_angle_beta 94.12
_cell_angle_gamma 90.00
_space_group_name_H-M_alt 'C 1 2/m 1'
_space_group_IT_number 12
loop_
_space_group_symop_operation_xyz
'x,y,z'
'-x,-y,-z'
'-x,y,-z'
'x,-y,z'
'x+1/2,y+1/2,z'
'-x+1/2,-y+1/2,-z'
'-x+1/2,y+1/2,-z'
'x+1/2,-y+1/2,z'
loop_
_atom_site_label
_atom_site_type_symbol
_atom_site_fract_x
_atom_site_fract_y
_atom_site_fract_z
Tb1 Tb 0.066 0.000 0.272
Tb2 Tb 0.069 0.500 0.272
Sm1 Sm 0.250 0.000 0.000
Er1 Er 0.019 0.250 0.075
Er2 Er 0.112 0.252 0.445
Er3 Er 0.141 0.000 0.575
Er4 Er 0.144 0.500 0.572
Er5 Er 0.167 0.251 0.669
Er6 Er 0.200 0.250 0.798
Er7 Er 0.215 0.000 0.862
Er8 Er 0.215 0.500 0.862
```

## Properties
DFT formation energy = 0.12 eV per atom
Crystal system = monoclinic

Na2HfAlPb | PBE | relaxed

Geometry as CIF:
```
data_Na2HfAlPb
_chemical_formula_sum 'Na2 Hf1 Al1 Pb1'
_cell_length_a 6.136
_cell_length_b 6.136
_cell_length_c 5.515
_cell_angle_alpha 90.00
_cell_angle_beta 90.00
_cell_angle_gamma 90.00
_space_group_name_H-M_alt 'P 4/m m m'
_space_group_IT_number 123
_space_group_name_Hall '-P 4 2'
loop_
_atom_site_label
_atom_site_type_symbol
_atom_site_fract_x
_atom_site_fract_y
_atom_site_fract_z
Na1 Na 0.000 0.500 0.000
Hf1 Hf 0.000 0.000 0.000
Al1 Al 0.500 0.500 0.500
Pb1 Pb 0.000 0.000 0.500
```

## Properties
DFT formation energy = 1.14 eV per atom
Crystal system = tetragonal

Re2SbTe | PBE | relaxed

Geometry as CIF:
```
data_Re2SbTe
_chemical_formula_sum 'Re2 Sb1 Te1'
_cell_length_a 3.230
_cell_length_b 4.377
_cell_length_c 5.421
_cell_angle_alpha 90.00
_cell_angle_beta 90.00
_cell_angle_gamma 90.00
_space_group_name_H-M_alt 'P m m m'
_space_group_IT_number 47
loop_
_space_group_symop_operation_xyz
'x,y,z'
'-x,-y,-z'
'-x,-y,z'
'x,y,-z'
'x,-y,-z'
'-x,y,z'
'-x,y,-z'
'x,-y,z'
loop_
_atom_site_label
_atom_site_type_symbol
_atom_site_fract_x
_atom_site_fract_y
_atom_site_fract_z
Re1 Re 0.000 0.000 0.000
Re2 Re 0.500 0.000 0.500
Sb1 Sb 0.000 0.500 0.500
Te1 Te 0.500 0.500 0.000
```

## Properties
Crystal system = orthorhombic
E_form (uncorrected) = 1.185 eV/atom

LiRu2O5 | PBE | relaxed

Geometry as CIF:
```
data_LiRu2O5
_chemical_formula_sum 'Li4 Ru8 O20'
_cell_length_a 8.003
_cell_length_b 8.837
_cell_length_c 5.799
_cell_angle_alpha 90.00
_cell_angle_beta 90.00
_cell_angle_gamma 90.00
_space_group_name_H-M_alt 'P n n m'
_space_group_IT_number 58
loop_
_space_group_symop_operation_xyz
'x,y,z'
'-x,-y,-z'
'-x,-y,z'
'x,y,-z'
'x+1/2,-y+1/2,-z+1/2'
'-x+1/2,y+1/2,z+1/2'
'-x+1/2,y+1/2,-z+1/2'
'x+1/2,-y+1/2,z+1/2'
loop_
_atom_site_label
_atom_site_type_symbol
_atom_site_fract_x
_atom_site_fract_y
_atom_site_fract_z
Li1 Li 0.247 0.244 0.000
Ru1 Ru 0.000 0.500 0.265
Ru2 Ru 0.134 0.127 0.500
O1 O 0.066 0.379 0.000
O2 O 0.093 0.349 0.500
O3 O 0.096 0.902 0.500
O4 O 0.221 0.607 0.251
```

## Properties
Crystal system = orthorhombic
E_form (uncorrected) = -1.082 eV/atom

Tl5Zn4As4 | PBE | relaxed

Geometry as CIF:
```
data_Tl5Zn4As4
_chemical_formula_sum 'Tl10 Zn8 As8'
_cell_length_a 12.510
_cell_length_b 12.510
_cell_length_c 4.207
_cell_angle_alpha 90.00
_cell_angle_beta 90.00
_cell_angle_gamma 90.00
_space_group_name_H-M_alt 'I 4/m'
_space_group_IT_number 87
_space_group_name_Hall '-I 4'
loop_
_atom_site_label
_atom_site_type_symbol
_atom_site_fract_x
_atom_site_fract_y
_atom_site_fract_z
Tl1 Tl 0.000 0.000 0.000
Tl2 Tl 0.127 0.195 0.500
Zn1 Zn 0.091 0.608 0.500
As1 As 0.054 0.712 0.000
```

## Properties
DFT formation energy = -0.07 eV per atom
Crystal system = tetragonal

AcTb4Nd2Tm | PBE | relaxed

Geometry as CIF:
```
data_AcTb4Nd2Tm
_chemical_formula_sum 'Ac1 Tb4 Nd2 Tm1'
_cell_length_a 5.980
_cell_length_b 5.980
_cell_length_c 7.617
_cell_angle_alpha 90.00
_cell_angle_beta 90.00
_cell_angle_gamma 90.00
_space_group_name_H-M_alt 'P 4/m m m'
_space_group_IT_number 123
_space_group_name_Hall '-P 4 2'
loop_
_atom_site_label
_atom_site_type_symbol
_atom_site_fract_x
_atom_site_fract_y
_atom_site_fract_z
Ac1 Ac 0.000 0.000 0.000
Tb1 Tb 0.000 0.500 0.263
Nd1 Nd 0.000 0.000 0.500
Nd2 Nd 0.500 0.500 0.000
Tm1 Tm 0.500 0.500 0.500
```

## Properties
DFT formation energy = 0.13 eV per atom
Crystal system = tetragonal

| no. | calculated volume (Å³ per cell) | total magnetic moment (Bohr magnetons per cell) |
| --- | --- | --- |
| 1 | 1880.1 | 0.000 |
| 2 | 207.7 | 0.303 |
| 3 | 76.6 | 0.000 |
| 4 | 410.2 | 1.097 |
| 5 | 658.4 | 0.000 |
| 6 | 272.3 | 0.000 |